Compound: LaCe3Hg6
Source: the Alexandria database
Functional: PBE
Structure: relaxed

Geometry as POSCAR:
```
LaCe3Hg6
1.0
9.560 0.000 0.000
0.000 5.254 0.000
-3.183 0.000 10.971
La Ce Hg
2 6 12
Direct
0.067 0.250 0.372
0.933 0.750 0.628
0.236 0.250 0.988
0.346 0.750 0.802
0.490 0.250 0.604
0.510 0.750 0.396
0.654 0.250 0.198
0.764 0.750 0.012
0.052 0.750 0.917
0.150 0.750 0.206
0.168 0.250 0.677
0.240 0.750 0.516
0.356 0.250 0.281
0.451 0.750 0.099
0.549 0.250 0.901
0.644 0.750 0.719
0.760 0.250 0.484
0.832 0.750 0.323
0.850 0.250 0.794
0.948 0.250 0.083
```

Properties
- Space group: P2_1/m (11)
- Formation enthalpy at 0 K: -334.7 meV/atom

=====

Compound: Y4Si2N
Source: the Alexandria database
Functional: PBE
Structure: relaxed

Geometry as POSCAR:
```
Y4Si2N
1.0
-2.290 2.290 7.610
2.290 -2.290 7.610
2.290 2.290 -7.610
Y Si N
4 2 1
Direct
0.000 0.500 0.500
0.171 0.171 0.000
0.500 0.000 0.500
0.829 0.829 0.000
0.363 0.363 0.000
0.637 0.637 0.000
0.000 0.000 0.000
```

Properties
- E_form (uncorrected): -87 kJ/mol of atoms
- Space group: I4/mmm (139)
- Excess energy over the best structure of this formula in the dataset: 0.5 kJ/mol of atoms

=====

Result set for calculated density: 10622; 4431 kg/m3, one per record in the order listed.